A relaxed structure of Ta2Al2CoNi7. Source: the Alexandria database, functional PBE-GGA.

Summary:
VASP energy = -6.55 eV/atom
Volume = 160 Å³/cell
Energy relative to the elements = 10.8 meV per atom
D(E_F) = 13.0 states/eV/cell

Geometry as CIF:
```
data_Ta2Al2CoNi7
_chemical_formula_sum 'Ta2 Al2 Co1 Ni7'
_symmetry_space_group_name_H-M 'P 1'
_symmetry_Int_Tables_number 1
_cell_length_a 3.280
_cell_length_b 3.280
_cell_length_c 15.036
_cell_angle_alpha 83.72
_cell_angle_beta 83.72
_cell_angle_gamma 90.00
loop_
_symmetry_equiv_pos_as_xyz
'x,y,z'
loop_
_atom_site_label
_atom_site_type_symbol
_atom_site_fract_x
_atom_site_fract_y
_atom_site_fract_z
Ni1 Ni 0.065 0.565 0.872
Co1 Co 0.000 0.000 0.000
Ni2 Ni 0.275 0.275 0.451
Ta1 Ta 0.631 0.631 0.738
Ni3 Ni 0.935 0.435 0.128
Ni4 Ni 0.500 0.500 0.000
Ta2 Ta 0.369 0.369 0.262
Al1 Al 0.809 0.809 0.382
Ni5 Ni 0.435 0.935 0.128
Ni6 Ni 0.725 0.725 0.549
Al2 Al 0.191 0.191 0.618
Ni7 Ni 0.565 0.065 0.872
```

---

A relaxed structure of NaZnGa11. Source: the Alexandria database, functional PBE-GGA.

Summary:
VASP energy = -2.76 eV/atom
Volume = 255 Å³/cell
Energy relative to the elements = -1.9 meV per atom
D(E_F) = 4.7 states/eV/cell

Geometry as CIF:
```
data_NaZnGa11
_chemical_formula_sum 'Na1 Zn1 Ga11'
_symmetry_space_group_name_H-M 'P 1'
_symmetry_Int_Tables_number 1
_cell_length_a 5.320
_cell_length_b 7.401
_cell_length_c 7.288
_cell_angle_alpha 83.73
_cell_angle_beta 68.59
_cell_angle_gamma 72.59
loop_
_symmetry_equiv_pos_as_xyz
'x,y,z'
loop_
_atom_site_label
_atom_site_type_symbol
_atom_site_fract_x
_atom_site_fract_y
_atom_site_fract_z
Ga1 Ga 0.000 0.000 0.500
Ga2 Ga 0.708 0.789 0.793
Zn1 Zn 0.500 0.500 0.000
Ga3 Ga 0.003 0.641 0.356
Ga4 Ga 0.292 0.211 0.207
Ga5 Ga 0.499 0.211 0.793
Ga6 Ga 0.501 0.789 0.207
Ga7 Ga 0.500 0.000 0.500
Ga8 Ga 0.000 0.500 0.000
Ga9 Ga 0.359 0.641 0.644
Ga10 Ga 0.641 0.359 0.356
Ga11 Ga 0.997 0.359 0.644
Na1 Na 0.000 0.000 0.000
```

---

A relaxed structure of Pm3Nd5Sm4. Source: the Alexandria database, functional PBE-GGA.

Summary:
VASP energy = -4.74 eV/atom
Volume = 415 Å³/cell
Offset from the most stable computed form = 0 meV/atom
Energy relative to the elements = 12.1 meV per atom
D(E_F) = 17.8 states/eV/cell

Geometry as CIF:
```
data_Pm3Nd5Sm4
_chemical_formula_sum 'Pm3 Nd5 Sm4'
_symmetry_space_group_name_H-M 'P 1'
_symmetry_Int_Tables_number 1
_cell_length_a 7.305
_cell_length_b 11.562
_cell_length_c 13.192
_cell_angle_alpha 151.29
_cell_angle_beta 56.40
_cell_angle_gamma 129.17
loop_
_symmetry_equiv_pos_as_xyz
'x,y,z'
loop_
_atom_site_label
_atom_site_type_symbol
_atom_site_fract_x
_atom_site_fract_y
_atom_site_fract_z
Pm1 Pm 0.415 0.833 0.667
Nd1 Nd 0.500 0.000 0.500
Nd2 Nd 0.750 0.500 0.000
Pm2 Pm 0.000 0.000 0.500
Nd3 Nd 0.666 0.333 0.167
Sm1 Sm 0.084 0.167 0.333
Sm2 Sm 0.835 0.668 0.833
Sm3 Sm 0.916 0.833 0.667
Nd4 Nd 0.250 0.500 0.000
Nd5 Nd 0.334 0.667 0.833
Pm3 Pm 0.585 0.167 0.333
Sm4 Sm 0.165 0.332 0.167
```

---

A relaxed structure of GdLu2Pu. Source: the Alexandria database, functional PBE-GGA.

Summary:
VASP energy = -9.21 eV/atom
Volume = 119 Å³/cell
Offset from the most stable computed form = 26 meV/atom
Energy relative to the elements = 154.6 meV per atom
D(E_F) = 9.0 states/eV/cell

Geometry as CIF:
```
data_GdLu2Pu
_chemical_formula_sum 'Gd1 Lu2 Pu1'
_symmetry_space_group_name_H-M 'P 1'
_symmetry_Int_Tables_number 1
_cell_length_a 5.523
_cell_length_b 5.523
_cell_length_c 5.523
_cell_angle_alpha 60.00
_cell_angle_beta 60.00
_cell_angle_gamma 60.00
loop_
_symmetry_equiv_pos_as_xyz
'x,y,z'
loop_
_atom_site_label
_atom_site_type_symbol
_atom_site_fract_x
_atom_site_fract_y
_atom_site_fract_z
Lu1 Lu 0.250 0.250 0.250
Lu2 Lu 0.750 0.750 0.750
Gd1 Gd 0.500 0.500 0.500
Pu1 Pu 0.000 0.000 0.000
```

---

A relaxed structure of Be2TlCrMo. Source: the Alexandria database, functional PBE-GGA.

Summary:
VASP energy = -4.54 eV/atom
Volume = 84 Å³/cell
Energy relative to the elements = 1512.7 meV per atom
D(E_F) = 2.7 states/eV/cell

Geometry as CIF:
```
data_Be2TlCrMo
_chemical_formula_sum 'Be2 Tl1 Cr1 Mo1'
_symmetry_space_group_name_H-M 'P 1'
_symmetry_Int_Tables_number 1
_cell_length_a 4.185
_cell_length_b 4.820
_cell_length_c 4.185
_cell_angle_alpha 90.00
_cell_angle_beta 90.00
_cell_angle_gamma 90.00
loop_
_symmetry_equiv_pos_as_xyz
'x,y,z'
loop_
_atom_site_label
_atom_site_type_symbol
_atom_site_fract_x
_atom_site_fract_y
_atom_site_fract_z
Cr1 Cr 0.000 0.000 0.000
Be1 Be 0.000 0.000 0.500
Mo1 Mo 0.500 0.500 0.500
Tl1 Tl 0.000 0.500 0.000
Be2 Be 0.500 0.000 0.000
```

---

A relaxed structure of TcAsPt2. Source: the Alexandria database, functional PBE-GGA.

Summary:
VASP energy = -6.73 eV/atom
Volume = 62 Å³/cell
Energy relative to the elements = 42.1 meV per atom
D(E_F) = 2.3 states/eV/cell

Geometry as CIF:
```
data_TcAsPt2
_chemical_formula_sum 'Tc1 As1 Pt2'
_symmetry_space_group_name_H-M 'P 1'
_symmetry_Int_Tables_number 1
_cell_length_a 3.811
_cell_length_b 3.810
_cell_length_c 4.253
_cell_angle_alpha 90.00
_cell_angle_beta 90.00
_cell_angle_gamma 90.00
loop_
_symmetry_equiv_pos_as_xyz
'x,y,z'
loop_
_atom_site_label
_atom_site_type_symbol
_atom_site_fract_x
_atom_site_fract_y
_atom_site_fract_z
Tc1 Tc 0.500 0.000 0.500
As1 As 0.000 0.500 0.500
Pt1 Pt 0.000 0.000 0.000
Pt2 Pt 0.500 0.500 0.000
```